# Br2OF, relaxed, DFT PBE
# space group: I-42d, No. 122
# total energy: -2.155 eV per atom
# formation energy without anion corrections: 0.389 eV/atom
# density of states at the Fermi level: 0.49 states/eV/atom
data_Br2OF
_chemical_formula_sum 'Br4 O2 F2'
_space_group_name_H-M_alt 'P 1'
_space_group_IT_number 1
_cell_length_a 5.1650
_cell_length_b 5.1650
_cell_length_c 7.6486
_cell_angle_alpha 70.27
_cell_angle_beta 70.27
_cell_angle_gamma 90.00
loop_
_space_group_symop_operation_xyz
'x,y,z'
loop_
_atom_site_label
_atom_site_type_symbol
_atom_site_fract_x
_atom_site_fract_y
_atom_site_fract_z
_atom_site_occupancy
O1 O 0.5000 0.5000 0.0000 1
O2 O 0.2500 0.7500 0.5000 1
Br1 Br 0.4498 0.1250 0.2500 1
Br2 Br 0.3002 0.6250 0.2500 1
Br3 Br 0.3750 0.5502 0.7500 1
Br4 Br 0.8750 0.6998 0.7500 1
F1 F 0.0000 0.0000 0.0000 1
F2 F 0.7500 0.2500 0.5000 1


# Cu2MoI, relaxed, DFT PBE
# space group: Fm-3m, No. 225
# total energy: -4.000 eV per atom
# formation energy without anion corrections: 1.143 eV/atom
# density of states at the Fermi level: 0.62 states/eV/atom
data_Cu2MoI
_chemical_formula_sum 'Cu2 Mo1 I1'
_space_group_name_H-M_alt 'P 1'
_space_group_IT_number 1
_cell_length_a 4.6624
_cell_length_b 4.6624
_cell_length_c 4.6624
_cell_angle_alpha 60.00
_cell_angle_beta 60.00
_cell_angle_gamma 60.00
loop_
_space_group_symop_operation_xyz
'x,y,z'
loop_
_atom_site_label
_atom_site_type_symbol
_atom_site_fract_x
_atom_site_fract_y
_atom_site_fract_z
_atom_site_occupancy
I1 I 0.5000 0.5000 0.5000 1
Mo1 Mo 0.0000 0.0000 0.0000 1
Cu1 Cu 0.2500 0.2500 0.2500 1
Cu2 Cu 0.7500 0.7500 0.7500 1


# CaGa2Sn2, relaxed, DFT PBE
# space group: P4/mbm, No. 127
# total energy: -3.364 eV per atom
# density of states at the Fermi level: 0.50 states/eV/atom
data_CaGa2Sn2
_chemical_formula_sum 'Ca2 Ga4 Sn4'
_space_group_name_H-M_alt 'P 1'
_space_group_IT_number 1
_cell_length_a 8.2627
_cell_length_b 8.2627
_cell_length_c 3.6759
_cell_angle_alpha 90.00
_cell_angle_beta 90.00
_cell_angle_gamma 90.00
loop_
_space_group_symop_operation_xyz
'x,y,z'
loop_
_atom_site_label
_atom_site_type_symbol
_atom_site_fract_x
_atom_site_fract_y
_atom_site_fract_z
_atom_site_occupancy
Ca1 Ca 0.0000 0.0000 0.0000 1
Ca2 Ca 0.5000 0.5000 0.0000 1
Sn1 Sn 0.3659 0.8659 0.0000 1
Sn2 Sn 0.8659 0.6341 0.0000 1
Sn3 Sn 0.6341 0.1341 0.0000 1
Sn4 Sn 0.1341 0.3659 0.0000 1
Ga1 Ga 0.1584 0.6584 0.5000 1
Ga2 Ga 0.6584 0.8416 0.5000 1
Ga3 Ga 0.8416 0.3416 0.5000 1
Ga4 Ga 0.3416 0.1584 0.5000 1


# PmScPtO6, relaxed, DFT PBE
# space group: P4_2nm, No. 102
# total energy: -7.152 eV per atom
# formation energy without anion corrections: -1.944 eV/atom
# density of states at the Fermi level: 0.68 states/eV/atom
data_PmScPtO6
_chemical_formula_sum 'Pm2 Sc2 Pt2 O12'
_space_group_name_H-M_alt 'P 1'
_space_group_IT_number 1
_cell_length_a 4.9474
_cell_length_b 4.9474
_cell_length_c 9.9242
_cell_angle_alpha 90.00
_cell_angle_beta 90.00
_cell_angle_gamma 90.00
loop_
_space_group_symop_operation_xyz
'x,y,z'
loop_
_atom_site_label
_atom_site_type_symbol
_atom_site_fract_x
_atom_site_fract_y
_atom_site_fract_z
_atom_site_occupancy
Pm1 Pm 0.5000 0.5000 0.5055 1
Pm2 Pm 0.0000 0.0000 0.0055 1
Sc1 Sc 0.5000 0.5000 0.1645 1
Sc2 Sc 0.0000 0.0000 0.6645 1
Pt1 Pt 0.5000 0.5000 0.8318 1
Pt2 Pt 0.0000 0.0000 0.3318 1
O1 O 0.1765 0.8235 0.4875 1
O2 O 0.8235 0.1765 0.4875 1
O3 O 0.3235 0.3235 0.9875 1
O4 O 0.6765 0.6765 0.9875 1
O5 O 0.2039 0.7961 0.1904 1
O6 O 0.7961 0.2039 0.1904 1
O7 O 0.2961 0.2961 0.6904 1
O8 O 0.7039 0.7039 0.6904 1
O9 O 0.7811 0.2189 0.8212 1
O10 O 0.2189 0.7811 0.8212 1
O11 O 0.7189 0.7189 0.3212 1
O12 O 0.2811 0.2811 0.3212 1


# Sc3As2S, relaxed, DFT PBE
# space group: Immm, No. 71
# total energy: -6.972 eV per atom
# formation energy without anion corrections: -1.569 eV/atom
# density of states at the Fermi level: 0.27 states/eV/atom
data_Sc3As2S
_chemical_formula_sum 'Sc3 As2 S1'
_space_group_name_H-M_alt 'P 1'
_space_group_IT_number 1
_cell_length_a 3.8221
_cell_length_b 5.4161
_cell_length_c 6.6067
_cell_angle_alpha 114.20
_cell_angle_beta 106.81
_cell_angle_gamma 90.00
loop_
_space_group_symop_operation_xyz
'x,y,z'
loop_
_atom_site_label
_atom_site_type_symbol
_atom_site_fract_x
_atom_site_fract_y
_atom_site_fract_z
_atom_site_occupancy
Sc1 Sc 0.8349 0.3349 0.1699 1
Sc2 Sc 0.1651 0.6651 0.8301 1
Sc3 Sc 0.5000 0.0000 0.5000 1
As1 As 0.8328 0.8328 0.1656 1
As2 As 0.1672 0.1672 0.8344 1
S1 S 0.5000 0.5000 0.5000 1


# Pm6Sb2Rh, relaxed, DFT PBE
# space group: P2_1/c, No. 14
# total energy: -5.566 eV per atom
# formation energy without anion corrections: -0.666 eV/atom
# density of states at the Fermi level: 1.17 states/eV/atom
data_Pm6Sb2Rh
_chemical_formula_sum 'Pm12 Sb4 Rh2'
_space_group_name_H-M_alt 'P 1'
_space_group_IT_number 1
_cell_length_a 6.4464
_cell_length_b 8.2398
_cell_length_c 10.3958
_cell_angle_alpha 90.00
_cell_angle_beta 91.70
_cell_angle_gamma 90.00
loop_
_space_group_symop_operation_xyz
'x,y,z'
loop_
_atom_site_label
_atom_site_type_symbol
_atom_site_fract_x
_atom_site_fract_y
_atom_site_fract_z
_atom_site_occupancy
Pm1 Pm 0.8781 0.9763 0.2460 1
Pm2 Pm 0.8611 0.6767 0.5437 1
Pm3 Pm 0.8672 0.6814 0.9543 1
Pm4 Pm 0.6328 0.1814 0.5457 1
Pm5 Pm 0.6389 0.1767 0.9563 1
Pm6 Pm 0.6219 0.4763 0.2540 1
Pm7 Pm 0.1219 0.0237 0.7540 1
Pm8 Pm 0.1389 0.3233 0.4563 1
Pm9 Pm 0.1328 0.3186 0.0457 1
Pm10 Pm 0.3672 0.8186 0.4543 1
Pm11 Pm 0.3611 0.8233 0.0437 1
Pm12 Pm 0.3781 0.5237 0.7460 1
Sb1 Sb 0.9084 0.3845 0.7498 1
Sb2 Sb 0.5916 0.8845 0.7502 1
Sb3 Sb 0.4084 0.1155 0.2498 1
Sb4 Sb 0.0916 0.6155 0.2502 1
Rh1 Rh 0.5000 0.5000 0.0000 1
Rh2 Rh 0.0000 0.0000 0.5000 1


# MnZn2Re, relaxed, DFT PBE
# space group: Cmmm, No. 65
# total energy: -5.861 eV per atom
# density of states at the Fermi level: 0.72 states/eV/atom
data_MnZn2Re
_chemical_formula_sum 'Mn1 Zn2 Re1'
_space_group_name_H-M_alt 'P 1'
_space_group_IT_number 1
_cell_length_a 4.8007
_cell_length_b 4.8007
_cell_length_c 2.6422
_cell_angle_alpha 90.00
_cell_angle_beta 90.00
_cell_angle_gamma 111.78
loop_
_space_group_symop_operation_xyz
'x,y,z'
loop_
_atom_site_label
_atom_site_type_symbol
_atom_site_fract_x
_atom_site_fract_y
_atom_site_fract_z
_atom_site_occupancy
Mn1 Mn 0.5000 0.0000 0.5000 1
Re1 Re 0.0000 0.5000 0.5000 1
Zn1 Zn 0.0000 0.0000 0.0000 1
Zn2 Zn 0.5000 0.5000 0.0000 1


# Ho2PuTl, relaxed, DFT PBE
# space group: P4/mmm, No. 123
# total energy: -6.527 eV per atom
# density of states at the Fermi level: 2.62 states/eV/atom
data_Ho2PuTl
_chemical_formula_sum 'Ho2 Pu1 Tl1'
_space_group_name_H-M_alt 'P 1'
_space_group_IT_number 1
_cell_length_a 4.6055
_cell_length_b 4.9027
_cell_length_c 4.9027
_cell_angle_alpha 90.00
_cell_angle_beta 90.00
_cell_angle_gamma 90.00
loop_
_space_group_symop_operation_xyz
'x,y,z'
loop_
_atom_site_label
_atom_site_type_symbol
_atom_site_fract_x
_atom_site_fract_y
_atom_site_fract_z
_atom_site_occupancy
Tl1 Tl 0.5000 0.0000 0.0000 1
Ho1 Ho 0.0000 0.0000 0.5000 1
Ho2 Ho 0.0000 0.5000 0.0000 1
Pu1 Pu 0.5000 0.5000 0.5000 1


# MgBe2Re2, relaxed, DFT PBE
# space group: P4/mbm, No. 127
# total energy: -6.740 eV per atom
# density of states at the Fermi level: 0.86 states/eV/atom
data_MgBe2Re2
_chemical_formula_sum 'Mg2 Be4 Re4'
_space_group_name_H-M_alt 'P 1'
_space_group_IT_number 1
_cell_length_a 6.1525
_cell_length_b 6.1525
_cell_length_c 3.1798
_cell_angle_alpha 90.00
_cell_angle_beta 90.00
_cell_angle_gamma 90.00
loop_
_space_group_symop_operation_xyz
'x,y,z'
loop_
_atom_site_label
_atom_site_type_symbol
_atom_site_fract_x
_atom_site_fract_y
_atom_site_fract_z
_atom_site_occupancy
Re1 Re 0.1705 0.6705 0.5000 1
Re2 Re 0.6705 0.8295 0.5000 1
Re3 Re 0.8295 0.3295 0.5000 1
Re4 Re 0.3295 0.1705 0.5000 1
Mg1 Mg 0.0000 0.0000 0.0000 1
Mg2 Mg 0.5000 0.5000 0.0000 1
Be1 Be 0.3815 0.8815 0.0000 1
Be2 Be 0.8815 0.6185 0.0000 1
Be3 Be 0.6185 0.1185 0.0000 1
Be4 Be 0.1185 0.3815 0.0000 1


# Cs3Dy3AlTe8, relaxed, DFT PBE
# space group: R-3m, No. 166
# total energy: -4.125 eV per atom
# formation energy without anion corrections: -1.109 eV/atom
# density of states at the Fermi level: 0.58 states/eV/atom
data_Cs3Dy3AlTe8
_chemical_formula_sum 'Cs3 Dy3 Al1 Te8'
_space_group_name_H-M_alt 'P 1'
_space_group_IT_number 1
_cell_length_a 8.7393
_cell_length_b 8.7438
_cell_length_c 10.5588
_cell_angle_alpha 114.47
_cell_angle_beta 90.00
_cell_angle_gamma 120.00
loop_
_space_group_symop_operation_xyz
'x,y,z'
loop_
_atom_site_label
_atom_site_type_symbol
_atom_site_fract_x
_atom_site_fract_y
_atom_site_fract_z
_atom_site_occupancy
Cs1 Cs 0.0000 0.0000 0.0000 1
Cs2 Cs 0.0000 0.5000 0.0000 1
Cs3 Cs 0.5000 0.5000 0.0000 1
Dy1 Dy 0.5000 0.0000 0.5000 1
Dy2 Dy 0.5000 0.5000 0.5000 1
Dy3 Dy 0.0000 0.5000 0.5000 1
Al1 Al 0.0000 0.0000 0.5000 1
Te1 Te 0.2692 0.5383 0.3077 1
Te2 Te 0.7308 0.4617 0.6923 1
Te3 Te 0.7838 0.5675 0.3204 1
Te4 Te 0.2162 0.4325 0.6796 1
Te5 Te 0.7836 0.0366 0.3202 1
Te6 Te 0.2164 0.9634 0.6798 1
Te7 Te 0.2530 0.0365 0.3202 1
Te8 Te 0.7470 0.9635 0.6798 1


# RbPm2RuO8, relaxed, DFT PBE
# space group: P-1, No. 2
# total energy: -6.773 eV per atom
# formation energy without anion corrections: -1.823 eV/atom
# density of states at the Fermi level: 0.33 states/eV/atom
data_RbPm2RuO8
_chemical_formula_sum 'Rb1 Pm2 Ru1 O8'
_space_group_name_H-M_alt 'P 1'
_space_group_IT_number 1
_cell_length_a 5.3690
_cell_length_b 4.2034
_cell_length_c 7.3982
_cell_angle_alpha 74.70
_cell_angle_beta 90.03
_cell_angle_gamma 89.81
loop_
_space_group_symop_operation_xyz
'x,y,z'
loop_
_atom_site_label
_atom_site_type_symbol
_atom_site_fract_x
_atom_site_fract_y
_atom_site_fract_z
_atom_site_occupancy
Rb1 Rb 0.0000 0.0000 0.5000 1
Pm1 Pm 0.5122 0.3756 0.7915 1
Pm2 Pm 0.4878 0.6244 0.2085 1
Ru1 Ru 0.0000 0.0000 0.0000 1
O1 O 0.0291 0.6480 0.2204 1
O2 O 0.6917 0.8149 0.9106 1
O3 O 0.7768 0.2025 0.1278 1
O4 O 0.9709 0.3520 0.7796 1
O5 O 0.3083 0.1851 0.0894 1
O6 O 0.2232 0.7975 0.8722 1
O7 O 0.5011 0.8250 0.4973 1
O8 O 0.4989 0.1750 0.5027 1


# NdHo4Er4, relaxed, DFT PBE
# space group: P-1, No. 2
# total energy: -4.554 eV per atom
# density of states at the Fermi level: 1.84 states/eV/atom
data_NdHo4Er4
_chemical_formula_sum 'Nd2 Ho8 Er8'
_space_group_name_H-M_alt 'P 1'
_space_group_IT_number 1
_cell_length_a 8.5963
_cell_length_b 9.5619
_cell_length_c 10.9641
_cell_angle_alpha 107.46
_cell_angle_beta 86.96
_cell_angle_gamma 137.03
loop_
_space_group_symop_operation_xyz
'x,y,z'
loop_
_atom_site_label
_atom_site_type_symbol
_atom_site_fract_x
_atom_site_fract_y
_atom_site_fract_z
_atom_site_occupancy
Nd1 Nd 0.0748 0.0437 0.7848 1
Nd2 Nd 0.9252 0.9563 0.2152 1
Ho1 Ho 0.2891 0.9517 0.5393 1
Ho2 Ho 0.1876 0.8488 0.9617 1
Ho3 Ho 0.4752 0.8121 0.7028 1
Ho4 Ho 0.1555 0.4887 0.3695 1
Ho5 Ho 0.8445 0.5113 0.6305 1
Ho6 Ho 0.5248 0.1879 0.2972 1
Ho7 Ho 0.8124 0.1512 0.0383 1
Ho8 Ho 0.7109 0.0483 0.4607 1
Er1 Er 0.0400 0.3719 0.7920 1
Er2 Er 0.3705 0.7076 0.1239 1
Er3 Er 0.2695 0.2908 0.5463 1
Er4 Er 0.3971 0.3738 0.1202 1
Er5 Er 0.7305 0.7092 0.4537 1
Er6 Er 0.6029 0.6262 0.8798 1
Er7 Er 0.9600 0.6281 0.2080 1
Er8 Er 0.6295 0.2924 0.8761 1